CaLa2CoO5 (PBE+U, optimized geometry); E_tot = -7.24 eV/atom; crystal system = tetragonal; space-group type = P4/mbm (127)
1.0
-5.4613 0.6901 1.3242
0.2210 -5.5982 3.8289
1.7760 3.7450 5.3730
O Ca La Co
10 2 4 2
Direct
0.2295 0.3587 0.1413
0.5000 0.5000 0.5000
0.2295 0.1413 0.6413
0.7705 0.3587 0.1413
0.7705 0.8587 0.3587
0.7705 0.6413 0.8587
0.2295 0.6413 0.8587
0.5000 0.0000 0.0000
0.7705 0.1413 0.6413
0.2295 0.8587 0.3587
0.0000 0.0000 0.0000
0.0000 0.5000 0.5000
0.5000 0.8265 0.6735
0.5000 0.3265 0.8265
0.5000 0.1735 0.3265
0.5000 0.6735 0.1735
0.0000 0.5000 0.0000
0.0000 0.0000 0.5000